[1]
The following is a GGA-PBE calculation of LaAl4Cu2Pt after structural relaxation, from Alexandria via LeMat-Bulk.

Values from the calculation:
Uncorrected energy: -0.3510 Ry per atom
Total moment: 0.00 μB per cell
DOS(E_F): 3.4 states/eV/cell
DFT formation energy: -0.51 eV/atom

a = 4.2307 Å, b = 4.2307 Å, c = 9.5613 Å
α = 77.22°, β = 77.22°, γ = 60.00°
With the nearest neighbours (Å) after each atom.
Sites, in units of the cell vectors:
Pt: 0.5000 0.5000 0.5000  8 Al 2.57-2.63
Al: 0.4074 0.4074 0.7779  3 Cu 2.50, 1 Pt 2.57
Al: 0.1312 0.1312 0.6064  3 Pt 2.63, 3 Cu 2.66, 3 Al 2.91
Al: 0.5926 0.5926 0.2221  3 Cu 2.50, 1 Pt 2.57
Al: 0.8688 0.8688 0.3936  3 Pt 2.63, 3 Cu 2.66, 3 Al 2.91
Cu: 0.7595 0.7595 0.7214  6 Al 2.50-2.66
Cu: 0.2405 0.2405 0.2786  6 Al 2.50-2.66
La: 0.0000 0.0000 0.0000  6 Al 3.19, 6 Cu 3.55

=====

[2]
The following is a GGA-PBE calculation of RbLaAl2Cu after structural relaxation, from Alexandria via LeMat-Bulk.

Values from the calculation:
Uncorrected energy: -0.2002 Ry per atom
Total moment: 0.00 μB per cell
DOS(E_F): 5.6 states/eV/cell
Polymorph energy (0 for the lowest one): 0 kJ/mol of formula units
DFT formation energy: 0.77 eV/atom

a = 6.0197 Å, b = 5.5098 Å, c = 6.0197 Å
α = 90.00°, β = 90.00°, γ = 90.00°
With the nearest neighbours (Å) after each atom.
Sites, in units of the cell vectors:
Al: 0.0000 0.0000 0.5000  2 La 3.01
Al: 0.5000 0.0000 0.0000  2 La 3.01
Cu: 0.0000 0.5000 0.0000  2 La 2.75
Rb: 0.5000 0.5000 0.5000  8 Al 4.08, 4 Cu 4.26
La: 0.0000 0.0000 0.0000  2 Cu 2.75, 4 Al 3.01